# MgPtF3 | Alexandria via LeMat-Bulk | PBE-GGA | optimized geometry
data_MgPtF3
_chemical_formula_sum 'Mg1 Pt1 F3'
_symmetry_space_group_name_H-M 'P m -3 m'
_symmetry_Int_Tables_number 221
_symmetry_space_group_name_Hall '-P 4 2 3'
_cell_length_a 3.983
_cell_length_b 3.983
_cell_length_c 3.983
_cell_angle_alpha 90.00
_cell_angle_beta 90.00
_cell_angle_gamma 90.00
loop_
_atom_site_label
_atom_site_fract_x
_atom_site_fract_y
_atom_site_fract_z
_atom_site_occupancy
Mg1 0.000 0.000 0.000 1
Pt1 0.500 0.500 0.500 1
F1 0.000 0.000 0.500 1
# - Calculated total energy: -21.8 eV for the cell shown
# - M_tot: 1.05 μB per cell
# - Raw formation energy: -1.712 eV/atom